(1)
# Zn2RhSe

A relaxed Zn2RhSe crystal (PBE, the Alexandria database).

Properties
energy relative to the elements, uncorrected = -0.133 eV per atom

Cell: 3.2946 4.3218 4.4233 Å, 90.00 90.00 90.00°
Space group Pmm2 (No. 25)
Inequivalent atoms, fractional coordinates:
Zn (0.0000, 0.0000, 0.0000) x1
Zn (0.0000, 0.5000, 0.3508) x1
Rh (0.5000, 0.5000, 0.8536) x1
Se (0.5000, 0.0000, 0.5263) x1

=====

(2)
# Ac2HoAl

A relaxed Ac2HoAl crystal (PBE, the Alexandria database).

Properties
formation enthalpy at 0 K = 0.266 eV/atom

Cell: 3.7283 3.7283 36.6898 Å, 90.00 90.00 120.00°
Space group R-3m (No. 166, hexagonal axes)
Inequivalent atoms, fractional coordinates:
Ac (0.0000, 0.0000, 0.0989) x6
Ho (0.0000, 0.0000, 0.0000) x3
Al (0.0000, 0.0000, 0.5000) x3

=====

no.,E_tot (eV/atom)
1,-3.48
2,-3.87